Entry 1:
Here is a geometry-optimized Tm8SiS6 structure from Alexandria. Energies are from PBE-GGA.

Cell: 3.8488 9.9174 9.9174 Å, 120.00 90.00 90.00°
Closest atoms and distances in Å follow each position.
Fractional positions:
Tm 0.7455 0.9673 0.2874  4 S 2.63-2.91
Tm 0.2545 0.2874 0.3202  4 S 2.63-2.91
Tm 0.7455 0.3202 0.0327  4 S 2.63-2.91
Tm 0.7455 0.7126 0.6798  4 S 2.63-2.91
Tm 0.2545 0.6798 0.9673  4 S 2.63-2.91
Tm 0.2521 0.6667 0.3333  6 S 2.71-2.72
Tm 0.2545 0.0327 0.7126  4 S 2.63-2.91
Tm 0.7479 0.3333 0.6667  6 S 2.71-2.72
S 0.7505 0.6509 0.1331  6 Tm 2.63-2.91
S 0.2495 0.1331 0.4822  6 Tm 2.63-2.91
S 0.2495 0.5178 0.6509  6 Tm 2.63-2.91
S 0.7505 0.4822 0.3491  6 Tm 2.63-2.91
S 0.7505 0.8669 0.5178  6 Tm 2.63-2.91
S 0.2495 0.3491 0.8669  6 Tm 2.63-2.91
Si 0.5000 0.0000 0.0000  6 Tm 3.17

Computed properties:
- Uncorrected formation energy: -1.43 eV/atom
- Space-group type: P-3

Entry 2:
Here is a geometry-optimized HfMgOs3 structure from Alexandria. Energies are from PBE-GGA.

Cell: 4.4488 4.4488 4.4488 Å, 90.00 90.00 90.00°
Closest atoms and distances in Å follow each position.
Fractional positions:
Mg 0.0000 0.0000 0.0000  6 Os 2.22
Hf 0.5000 0.5000 0.5000  12 Os 3.15
Os 0.0000 0.0000 0.5000  2 Mg 2.22
Os 0.0000 0.5000 0.0000  2 Mg 2.22
Os 0.5000 0.0000 0.0000  2 Mg 2.22

Computed properties:
- Space-group type: Pm-3m
- Energy of formation: 1.522 eV/atom
- Polymorph energy (0 for the lowest one): 0 meV per atom

Entry 3:
Here is a geometry-optimized CaGdZnGe structure from Alexandria. Energies are from PBE-GGA.

Cell: 5.1066 5.1066 5.1066 Å, 60.00 60.00 60.00°
Closest atoms and distances in Å follow each position.
Fractional positions:
Ge 0.2500 0.2500 0.2500  4 Ca 3.13, 4 Gd 3.13
Gd 0.0000 0.0000 0.0000  4 Ge 3.13, 4 Zn 3.13
Zn 0.7500 0.7500 0.7500  4 Gd 3.13, 4 Ca 3.13
Ca 0.5000 0.5000 0.5000  4 Ge 3.13, 4 Zn 3.13

Computed properties:
- Space-group type: F-43m
- Energy of formation: -0.480 eV/atom